Record 1
Density functional theory data (PBE) for TcGeBr2 after structural relaxation.

abc: 3.1728 3.1728 29.3556
angles: 90.00 90.00 120.00
Space group R-3m (No. 166, hexagonal axes)
Asymmetric unit:
Tc 0.0000 0.0000 0.0000 x3
Ge 0.0000 0.0000 0.5000 x3
Br 0.0000 0.0000 0.0815 x6

## Properties
D(E_F): 0.53 states/eV/atom
Energy above the lowest structure with this stoichiometry: 0.384 eV/atom
ΔE_f (raw): 571 meV per atom
Mass density: 6.43 g/cm³

=====

Record 2
Density functional theory data (PBE) for MgMo8 after structural relaxation.

abc: 7.9821 7.9821 4.5869
angles: 90.00 90.00 90.00
Space group I4/mmm (No. 139)
Asymmetric unit:
Mg 0.0000 0.0000 0.0000 x2
Mo 0.0000 0.3377 0.0000 x8
Mo 0.1647 0.1647 0.5000 x8

## Properties
D(E_F): 0.97 states/eV/atom
Formation energy: 338 meV per atom
Mass density: 9.00 g/cm³

=====

Record 3
Density functional theory data (PBE) for Fe2SiMo after structural relaxation.

abc: 2.6750 2.6750 24.0382
angles: 90.00 90.00 120.00
Space group R-3m (No. 166, hexagonal axes)
Asymmetric unit:
Fe 0.0000 0.0000 0.2437 x6
Si 0.0000 0.0000 0.5000 x3
Mo 0.0000 0.0000 0.0000 x3

## Properties
D(E_F): 0.89 states/eV/atom
ΔE_f (raw): 39 meV per atom
Mass density: 7.88 g/cm³

=====

Number 1: E_tot -4.011 eV per atom, total magnetic moment 0.00 μB/f.u.. Number 2: E_tot -9.467 eV per atom, total magnetic moment 0.00 μB/f.u.. Number 3: E_tot -8.256 eV per atom, total magnetic moment 1.99 μB/f.u..